Entry from Alexandria: K3MnB2O6 after structural relaxation (GGA+U).

Lattice parameters (Å, degrees): 5.3735 5.3735 6.7262 90.00 90.00 120.00
Last column: nearest neighbours and their distance in Å.
Fractional positions:
K  0.0000  0.0000  0.0000  6 O 2.71
K  0.3333  0.6667  0.7440  6 O 2.72, 1 B 2.86
K  0.6667  0.3333  0.2560  6 O 2.72, 1 B 2.86
Mn  0.0000  0.0000  0.5000  6 O 2.12
B  0.3333  0.6667  0.3185  3 O 1.40
B  0.6667  0.3333  0.6815  3 O 1.40
O  0.1833  0.3667  0.3121  1 B 1.40
O  0.1833  0.8167  0.3121  1 B 1.40
O  0.3667  0.1833  0.6879  1 B 1.40
O  0.6333  0.8167  0.3121  1 B 1.40
O  0.8167  0.1833  0.6879  1 B 1.40
O  0.8167  0.6333  0.6879  1 B 1.40

Calculated values
Its density of states at the Fermi level is 3.3 states/eV/cell. The symmetry is P-3m1. As for the energy: -6.46 eV per atom. The mass density comes out at 2.9 g/cm³.